This record from the Alexandria database describes a relaxed structure of ZrFeW. The functional is GGA-PBE.

a b c (Å): 3.0080 3.0080 6.4521
angles (deg): 90.00 90.00 120.00
Closest atoms and distances in Å follow each position.
Space group P3m1 (No. 156)
Unique sites:
Zr1 0.0000 0.0000 0.0000 [1 per cell]  3 Fe 2.81, 3 W 2.98, 6 Zr 3.01
Fe1 0.6667 0.3333 0.3417 [1 per cell]  3 W 2.52, 3 Zr 2.81
W1 0.3333 0.6667 0.6240 [1 per cell]  3 Fe 2.52


This record from the Alexandria database describes a relaxed structure of ZrFeW2. The functional is GGA-PBE.

Output
polymorph energy (0 for the lowest one) = 0.160 eV/atom

a b c (Å): 2.7992 2.7992 8.2267
angles (deg): 90.00 90.00 90.00
Closest atoms and distances in Å follow each position.
Space group P4/mmm (No. 123)
Unique sites:
Zr1 0.0000 0.0000 0.0000 [1 per cell]  4 Zr 2.80, 8 W 3.12
Fe1 0.0000 0.0000 0.5000 [1 per cell]  8 W 2.61, 4 Fe 2.80
W1 0.5000 0.5000 0.2936 [2 per cell]  4 Fe 2.61, 4 W 2.80


This record from the Alexandria database describes a relaxed structure of Zr4FeW. The functional is GGA-PBE.

a b c (Å): 7.9104 7.9104 7.9104
angles (deg): 90.00 90.00 90.00
Closest atoms and distances in Å follow each position.
Space group F-43m (No. 216)
Unique sites:
Zr1 0.1242 0.1242 0.3758 [16 per cell]  6 Zr 2.78-2.81
Fe1 0.0000 0.0000 0.0000 [4 per cell]  12 Zr 3.28, 4 W 3.43
W1 0.2500 0.2500 0.7500 [4 per cell]  12 Zr 3.28, 4 Fe 3.43


This record from the Alexandria database describes a relaxed structure of ZrFe3W. The functional is GGA-PBE.

Output
polymorph energy (0 for the lowest one) = 0.000 eV/atom

a b c (Å): 4.4325 4.4325 4.4325
angles (deg): 90.00 90.00 90.00
Closest atoms and distances in Å follow each position.
Space group Pm-3m (No. 221)
Unique sites:
Zr1 0.0000 0.0000 0.0000 [1 per cell]  12 Fe 3.13
Fe1 0.0000 0.5000 0.5000 [3 per cell]  2 W 2.22
W1 0.5000 0.5000 0.5000 [1 per cell]  6 Fe 2.22


This record from the Alexandria database describes a relaxed structure of ZrFeW2. The functional is GGA-PBE.

Output
polymorph energy (0 for the lowest one) = 0.131 eV/atom

a b c (Å): 3.2338 4.6252 8.7554
angles (deg): 90.00 90.00 90.00
Closest atoms and distances in Å follow each position.
Space group Imm2 (No. 44)
Unique sites:
Zr1 0.0000 0.0000 0.0000 [2 per cell]  2 Fe 2.75, 6 W 2.82-2.85
Fe1 0.0000 0.5000 0.2462 [2 per cell]  6 W 2.63-2.83, 2 Zr 2.75
W1 0.0000 0.0000 0.5096 [2 per cell]  2 Fe 2.63, 2 W 2.67, 4 Zr 2.82
W2 0.0000 0.5000 0.7674 [2 per cell]  2 W 2.67, 4 Fe 2.83, 2 Zr 2.85


This record from the Alexandria database describes a relaxed structure of ZrFeW2. The functional is GGA-PBE.

Output
polymorph energy (0 for the lowest one) = 0.143 eV/atom

a b c (Å): 5.4402 9.2284 2.7646
angles (deg): 90.00 110.09 90.00
Closest atoms and distances in Å follow each position.
Space group C2/m (No. 12)
Unique sites:
Zr1 0.0000 0.0000 0.0000 [2 per cell]  2 Fe 2.72, 2 Zr 2.76, 4 W 2.79
Fe1 0.0000 0.5000 0.0000 [2 per cell]  2 Zr 2.72, 2 Fe 2.76, 4 W 2.79
W1 0.2500 0.2500 0.5000 [4 per cell]  4 W 2.72-2.76, 2 Zr 2.79, 2 Fe 2.79


This record from the Alexandria database describes a relaxed structure of ZrFeW2. The functional is GGA-PBE.

Output
polymorph energy (0 for the lowest one) = 0.158 eV/atom

a b c (Å): 2.7845 4.6288 5.1438
angles (deg): 90.00 99.91 90.00
Closest atoms and distances in Å follow each position.
Space group P2/m (No. 10)
Unique sites:
Zr1 0.0000 0.0000 0.0000 [1 per cell]  2 Fe 2.71, 2 Zr 2.78, 4 W 2.82
Fe1 0.5000 0.0000 0.5000 [1 per cell]  2 Zr 2.71, 4 W 2.77, 2 Fe 2.78
W1 0.2674 0.5000 0.7450 [2 per cell]  4 W 2.70-2.78, 2 Fe 2.77, 2 Zr 2.82


This record from the Alexandria database describes a relaxed structure of YFe. The functional is GGA-PBE.

a b c (Å): 11.3900 3.4375 4.5793
angles (deg): 90.00 113.64 90.00
Closest atoms and distances in Å follow each position.
Space group C2/m (No. 12)
Unique sites:
Y1 0.1103 0.0000 0.3600 [4 per cell]  6 Fe 2.94-3.20, 2 Y 3.25
Fe1 0.1755 0.5000 0.9251 [4 per cell]  2 Fe 2.32


This record from the Alexandria database describes a relaxed structure of YFe5. The functional is GGA-PBE.

a b c (Å): 5.0134 5.0134 3.9351
angles (deg): 90.00 90.00 120.00
Closest atoms and distances in Å follow each position.
Space group P6/mmm (No. 191)
Unique sites:
Y1 0.0000 0.0000 0.0000 [1 per cell]  18 Fe 2.89-3.19
Fe1 0.0000 0.5000 0.5000 [3 per cell]  8 Fe 2.44-2.51
Fe2 0.3333 0.6667 0.0000 [2 per cell]  6 Fe 2.44


This record from the Alexandria database describes a relaxed structure of YFe5. The functional is GGA-PBE.

a b c (Å): 6.9763 6.9763 6.9763
angles (deg): 90.00 90.00 90.00
Closest atoms and distances in Å follow each position.
Space group F-43m (No. 216)
Unique sites:
Y1 0.0000 0.0000 0.0000 [4 per cell]  16 Fe 2.89-3.02
Fe1 0.1243 0.1243 0.6243 [16 per cell]  6 Fe 2.45-2.48
Fe2 0.2500 0.2500 0.2500 [4 per cell]  12 Fe 2.89, 4 Y 3.02


This record from the Alexandria database describes a relaxed structure of YFe. The functional is GGA-PBE.

a b c (Å): 3.5959 3.5959 7.9811
angles (deg): 90.00 90.00 120.00
Closest atoms and distances in Å follow each position.
Space group P-3m1 (No. 164)
Unique sites:
Y1 0.3333 0.6667 0.3085 [2 per cell]  4 Fe 2.75-3.01
Fe1 0.3333 0.6667 0.9643 [2 per cell]  3 Fe 2.15


This record from the Alexandria database describes a relaxed structure of YFe. The functional is GGA-PBE.

a b c (Å): 3.2874 3.2874 7.8838
angles (deg): 90.00 90.00 90.00
Closest atoms and distances in Å follow each position.
Space group P4/nmm (No. 129, origin choice 2)
Unique sites:
Y1 0.2500 0.2500 0.1953 [2 per cell]  5 Fe 2.94-2.98, 4 Y 3.29
Fe1 0.2500 0.2500 0.5686 [2 per cell]  4 Fe 2.56


This record from the Alexandria database describes a relaxed structure of YFe. The functional is GGA-PBE.

a b c (Å): 6.1210 6.1210 6.1210
angles (deg): 90.00 90.00 90.00
Closest atoms and distances in Å follow each position.
Space group F-43m (No. 216)
Unique sites:
Y1 0.0000 0.0000 0.0000 [4 per cell]  4 Fe 2.65
Fe1 0.2500 0.2500 0.7500 [4 per cell]  4 Y 2.65


This record from the Alexandria database describes a relaxed structure of YFe. The functional is GGA-PBE.

a b c (Å): 9.8618 9.8618 3.8963
angles (deg): 90.00 90.00 90.00
Closest atoms and distances in Å follow each position.
Space group P4/m (No. 83)
Unique sites:
Y1 0.0286 0.2337 0.0000 [4 per cell]  4 Fe 2.67-2.97
Y2 0.2892 0.6619 0.5000 [4 per cell]  3 Fe 2.88-2.92
Fe1 0.0739 0.4126 0.5000 [4 per cell]  3 Fe 2.26-2.27
Fe2 0.1211 0.5201 0.0000 [4 per cell]  3 Fe 2.27-2.42


This record from the Alexandria database describes a relaxed structure of Y2Fe. The functional is GGA-PBE.

a b c (Å): 3.6428 3.6428 6.7680
angles (deg): 90.00 90.00 120.00
Closest atoms and distances in Å follow each position.
Space group P-3m1 (No. 164)
Unique sites:
Y1 0.3333 0.6667 0.2583 [2 per cell]  3 Fe 2.73
Fe1 0.0000 0.0000 0.0000 [1 per cell]  6 Y 2.73


This record from the Alexandria database describes a relaxed structure of Y2Fe3. The functional is GGA-PBE.

a b c (Å): 9.1900 14.4236 5.5426
angles (deg): 90.00 90.00 90.00
Closest atoms and distances in Å follow each position.
Space group Fdd2 (No. 43)
Unique sites:
Y1 0.0809 0.2993 0.0000 [16 per cell]  7 Fe 2.86-3.12
Fe1 0.0000 0.0000 0.2480 [8 per cell]  4 Fe 2.35-2.38
Fe2 0.0815 0.3756 0.5106 [16 per cell]  2 Fe 2.35-2.38


This record from the Alexandria database describes a relaxed structure of YFe6. The functional is GGA-PBE.

Output
polymorph energy (0 for the lowest one) = 0.536 eV/atom

a b c (Å): 6.0084 6.0084 6.0084
angles (deg): 90.00 90.00 90.00
Closest atoms and distances in Å follow each position.
Space group Im-3m (No. 229)
Unique sites:
Y1 0.0000 0.0000 0.0000 [2 per cell]  24 Fe 3.36
Fe1 0.0000 0.2500 0.5000 [12 per cell]  4 Fe 2.12


This record from the Alexandria database describes a relaxed structure of Y3Fe. The functional is GGA-PBE.

a b c (Å): 7.4566 7.4566 7.4566
angles (deg): 90.00 90.00 90.00
Closest atoms and distances in Å follow each position.
Space group Fm-3m (No. 225)
Unique sites:
Y1 0.0000 0.0000 0.0000 [4 per cell]  8 Y 3.23
Y2 0.2500 0.2500 0.2500 [8 per cell]  4 Fe 3.23, 4 Y 3.23
Fe1 0.0000 0.0000 0.5000 [4 per cell]  8 Y 3.23


This record from the Alexandria database describes a relaxed structure of Y2Fe3. The functional is GGA-PBE.

a b c (Å): 3.9002 3.9002 22.4756
angles (deg): 90.00 90.00 120.00
Closest atoms and distances in Å follow each position.
Space group R-3m (No. 166, hexagonal axes)
Unique sites:
Y1 0.0000 0.0000 0.0861 [6 per cell]  9 Fe 2.89-3.05
Fe1 0.0000 0.0000 0.3390 [6 per cell]  3 Fe 2.27
Fe2 0.0000 0.0000 0.5000 [3 per cell]  6 Y 2.89


This record from the Alexandria database describes a relaxed structure of Y3Fe. The functional is GGA-PBE.

a b c (Å): 4.7553 4.7787 9.0902
angles (deg): 90.00 90.00 90.00
Closest atoms and distances in Å follow each position.
Space group Cmmm (No. 65)
Unique sites:
Y1 0.0000 0.0000 0.0000 [2 per cell]  8 Y 3.37-3.77
Y2 0.0000 0.5000 0.3218 [4 per cell]  4 Fe 2.88-2.89
Fe1 0.0000 0.0000 0.5000 [2 per cell]  8 Y 2.88-2.89


This record from the Alexandria database describes a relaxed structure of Y3Fe. The functional is GGA-PBE.

a b c (Å): 3.5378 10.7206 5.3758
angles (deg): 90.00 90.00 90.00
Closest atoms and distances in Å follow each position.
Space group Imm2 (No. 44)
Unique sites:
Y1 0.0000 0.0000 0.0000 [2 per cell]  4 Fe 3.09-3.34, 4 Y 3.38-3.39
Y2 0.0000 0.1917 0.4984 [4 per cell]  2 Fe 2.72
Fe1 0.0000 0.5000 0.9723 [2 per cell]  4 Y 2.72


This record from the Alexandria database describes a relaxed structure of Y4Fe. The functional is GGA-PBE.

Output
polymorph energy (0 for the lowest one) = 0.600 eV/atom

a b c (Å): 4.1194 4.1194 17.9396
angles (deg): 90.00 90.00 90.00
Closest atoms and distances in Å follow each position.
Space group I4/mmm (No. 139)
Unique sites:
Y1 0.0000 0.0000 0.0849 [4 per cell]  1 Y 3.05, 4 Fe 3.29
Y2 0.0000 0.5000 0.2500 [4 per cell]  4 Y 2.91
Fe1 0.0000 0.0000 0.5000 [2 per cell]  8 Y 3.29


This record from the Alexandria database describes a relaxed structure of Y3Fe. The functional is GGA-PBE.

a b c (Å): 4.6498 4.6498 9.6955
angles (deg): 90.00 90.00 90.00
Closest atoms and distances in Å follow each position.
Space group I4/mmm (No. 139)
Unique sites:
Y1 0.0000 0.0000 0.0000 [2 per cell]  4 Fe 3.29, 8 Y 3.36
Y2 0.0000 0.5000 0.2500 [4 per cell]  8 Y 3.29-3.36, 4 Fe 3.36
Fe1 0.0000 0.0000 0.5000 [2 per cell]  12 Y 3.29-3.36


This record from the Alexandria database describes a relaxed structure of YFe6. The functional is GGA-PBE.

Output
polymorph energy (0 for the lowest one) = 0.000 eV/atom

a b c (Å): 7.9426 4.8333 10.0614
angles (deg): 90.00 90.00 90.00
Closest atoms and distances in Å follow each position.
Space group Pnma (No. 62)
Unique sites:
Y1 0.2425 0.2500 0.0641 [4 per cell]  13 Fe 2.79-3.11
Fe1 0.0498 0.7500 0.0950 [4 per cell]  5 Fe 2.45-2.60
Fe2 0.0643 0.0064 0.3077 [8 per cell]  7 Fe 2.35-2.50
Fe3 0.0933 0.2500 0.5155 [4 per cell]  6 Fe 2.41-2.60
Fe4 0.1458 0.7500 0.8599 [4 per cell]  8 Fe 2.49-2.67
Fe5 0.1903 0.2500 0.7516 [4 per cell]  7 Fe 2.38-2.60


This record from the Alexandria database describes a relaxed structure of Y3Fe29. The functional is GGA-PBE.

a b c (Å): 9.6308 8.4558 10.4393
angles (deg): 90.00 96.42 90.00
Closest atoms and distances in Å follow each position.
Space group C2/m (No. 12)
Unique sites:
Y1 0.0000 0.0000 0.0000 [2 per cell]  20 Fe 2.98-3.22
Y2 0.1882 0.0000 0.5983 [4 per cell]  19 Fe 2.98-3.28
Fe1 0.0000 0.3582 0.0000 [4 per cell]  9 Fe 2.40-2.62
Fe2 0.0000 0.5000 0.5000 [2 per cell]  10 Fe 2.43-2.59
Fe3 0.0198 0.5000 0.2542 [4 per cell]  9 Fe 2.39-2.65
Fe4 0.0626 0.2508 0.4047 [8 per cell]  9 Fe 2.42-2.63
Fe5 0.0918 0.0000 0.2920 [4 per cell]  9 Fe 2.45-2.68
Fe6 0.0925 0.2188 0.8025 [8 per cell]  10 Fe 2.39-2.68
Fe7 0.1543 0.2525 0.1981 [8 per cell]  10 Fe 2.36-2.61
Fe8 0.1879 0.3516 0.6211 [8 per cell]  8 Fe 2.44-2.60
Fe9 0.2098 0.5000 0.8593 [4 per cell]  9 Fe 2.39-2.67
Fe10 0.2219 0.5000 0.1079 [4 per cell]  10 Fe 2.41-2.67
Fe11 0.2500 0.2500 0.0000 [4 per cell]  10 Fe 2.36-2.58


This record from the Alexandria database describes a relaxed structure of YFe3. The functional is GGA-PBE.

a b c (Å): 3.7259 3.7259 19.3423
angles (deg): 90.00 90.00 90.00
Closest atoms and distances in Å follow each position.
Space group I4/mmm (No. 139)
Unique sites:
Y1 0.0000 0.0000 0.1186 [4 per cell]  12 Fe 2.83-3.15
Fe1 0.0000 0.0000 0.3276 [4 per cell]  4 Fe 2.39
Fe2 0.0000 0.5000 0.0000 [4 per cell]  4 Fe 2.63
Fe3 0.0000 0.5000 0.2500 [4 per cell]  8 Fe 2.39-2.63


| no. | formation energy from the elements (kJ/mol of formula units) |
| --- | --- |
| 1 | 110 |
| 2 | 92 |
| 3 | 474 |
| 4 | 521 |
| 5 | 81 |
| 6 | 86 |
| 7 | 92 |
| 8 | 17 |
| 9 | -24 |
| 10 | 21 |
| 11 | 54 |
| 12 | 28 |
| 13 | 288 |
| 14 | 55 |
| 15 | 78 |
| 16 | -4 |
| 17 | 388 |
| 18 | 152 |
| 19 | 111 |
| 20 | 45 |
| 21 | 43 |
| 22 | 347 |
| 23 | 135 |
| 24 | 27 |
| 25 | -18 |
| 26 | 111 |